(1)
The following is a PBE-GGA calculation of a geometry-optimized LiSm5Te8 structure, from the Alexandria database.

a = 8.1798 Å, b = 8.1798 Å, c = 8.1798 Å
α = 109.94°, β = 109.94°, γ = 108.53°
Element x y z (fractional)
1 Li 0.0000 0.0000 0.0000
2 Sm 0.1162 0.2466 0.6205
3 Sm 0.2500 0.7500 0.5000
4 Sm 0.5042 0.8838 0.1303
5 Sm 0.6261 0.4958 0.3795
6 Sm 0.7534 0.3739 0.8697
7 Te 0.0273 0.6373 0.7562
8 Te 0.2368 0.4900 0.1046
9 Te 0.3627 0.1189 0.3900
10 Te 0.3854 0.1322 0.8954
11 Te 0.5100 0.6146 0.7468
12 Te 0.7289 0.9727 0.6100
13 Te 0.8678 0.7632 0.2532
14 Te 0.8811 0.2711 0.2438

volume: 30.088 Å³ per atom
energy relative to the elements, uncorrected: -1.373 eV per atom
spin magnetization: 0.00 μB/f.u.

=====

(2)
The following is a PBE-GGA calculation of a geometry-optimized Ac8Ru3CI3 structure, from the Alexandria database.

a = 8.5762 Å, b = 8.5762 Å, c = 10.0621 Å
α = 115.32°, β = 115.32°, γ = 59.95°
Element x y z (fractional)
1 Ac 0.2170 0.2170 0.6701
2 Ac 0.2168 0.7370 0.6700
3 Ac 0.2630 0.7832 0.3300
4 Ac 0.2693 0.2693 0.3088
5 Ac 0.7307 0.7307 0.6912
6 Ac 0.7370 0.2168 0.6700
7 Ac 0.7832 0.2630 0.3300
8 Ac 0.7830 0.7830 0.3299
9 Ru 0.0000 0.5000 0.5000
10 Ru 0.5000 0.0000 0.5000
11 Ru 0.5000 0.5000 0.5000
12 C 0.0000 0.0000 0.5000
13 I 0.0000 0.0000 0.0000
14 I 0.0000 0.5000 0.0000
15 I 0.5000 0.0000 0.0000

volume: 37.139 Å³ per atom
energy relative to the elements, uncorrected: -0.517 eV per atom
spin magnetization: 0.31 μB/f.u.

=====

(3)
The following is a PBE-GGA calculation of a geometry-optimized UMoAsN structure, from the Alexandria database.

a = 3.8939 Å, b = 3.8939 Å, c = 8.7320 Å
α = 90.00°, β = 90.00°, γ = 90.00°
Element x y z (fractional)
1 U 0.2500 0.2500 0.1324
2 U 0.7500 0.7500 0.8676
3 Mo 0.2500 0.7500 0.5000
4 Mo 0.7500 0.2500 0.5000
5 As 0.2500 0.2500 0.6968
6 As 0.7500 0.7500 0.3032
7 N 0.2500 0.7500 0.0000
8 N 0.7500 0.2500 0.0000

volume: 16.550 Å³ per atom
energy relative to the elements, uncorrected: -0.825 eV per atom
spin magnetization: 1.84 μB/f.u.